# 1
Entry from Alexandria via LeMat-Bulk: a relaxed structure of La2TbPd2 (GGA-PBE).

Properties
SG: No. 127
Magnetization in μB/f.u.: 0.000
VASP energy in eV per atom: -5.65

Structure (POSCAR):
```
La2TbPd2
1.0
-0.5126 3.2128 2.5244
2.9115 -4.3372 6.1113
7.4268 2.5456 -1.7316
La Tb Pd
4 2 4
direct
0.5000 0.1688 0.6688
0.5000 0.6688 0.8312
0.5000 0.8312 0.3312
0.5000 0.3312 0.1688
0.0000 0.0000 0.0000
0.0000 0.5000 0.5000
0.0000 0.3689 0.8689
0.0000 0.8689 0.6311
0.0000 0.6311 0.1311
0.0000 0.1311 0.3689
```

# 2
Entry from Alexandria via LeMat-Bulk: a relaxed structure of RbMgAsSe2 (GGA-PBE).

Properties
SG: No. 123
Raw formation energy in meV/atom: 1052
Magnetization in μB/f.u.: 0.026
VASP energy in eV per atom: -1.78

Structure (POSCAR):
```
RbMgAsSe2
1.0
-5.7623 0.5214 0.1185
-0.0439 -1.7394 5.5193
0.5145 5.3056 1.6762
Mg As Se Rb
1 1 2 1
direct
0.5000 0.5000 0.5000
0.0000 0.0000 0.5000
0.0000 0.5000 0.0000
0.5000 0.0000 0.0000
0.0000 0.0000 0.0000
```